A relaxed Nd5ErGe4 crystal, computed with PBE-GGA.

Cell: 8.324 8.324 7.014 Å, 90.96 90.96 35.52°
Atoms (fractional coordinates):
Nd: 0.000 0.000 0.000
Nd: 0.334 0.334 0.493
Nd: 0.336 0.336 0.003
Nd: 0.664 0.664 0.997
Nd: 0.666 0.666 0.507
Er: 0.000 0.000 0.500
Ge: 0.176 0.176 0.748
Ge: 0.491 0.491 0.740
Ge: 0.509 0.509 0.260
Ge: 0.824 0.824 0.252

Calculated values
ΔE_f = -0.61 eV per atom
V = 28.2 Å³ per atom
crystal system = monoclinic
magnetic moment = 0.0 μB/cell

***

A relaxed Ac8TlPb2 crystal, computed with PBE-GGA.

Cell: 11.026 11.026 7.616 Å, 101.89 101.89 29.91°
Atoms (fractional coordinates):
Ac: 0.020 0.020 0.268
Ac: 0.210 0.210 0.832
Ac: 0.341 0.341 0.504
Ac: 0.409 0.409 0.031
Ac: 0.591 0.591 0.969
Ac: 0.659 0.659 0.496
Ac: 0.790 0.790 0.168
Ac: 0.980 0.980 0.732
Tl: 0.500 0.500 0.500
Pb: 0.184 0.184 0.266
Pb: 0.816 0.816 0.734

Calculated values
ΔE_f = -0.22 eV per atom
V = 41.0 Å³ per atom
crystal system = monoclinic
magnetic moment = 0.0 μB/cell

***

A relaxed Li2MgAuO4 crystal, computed with PBE-GGA.

Cell: 6.000 6.000 6.158 Å, 118.45 118.45 89.36°
Atoms (fractional coordinates):
Li: 0.000 0.000 0.000
Li: 0.000 0.000 0.500
Li: 0.000 0.500 0.000
Li: 0.500 0.000 0.500
Mg: 0.500 0.500 0.000
Mg: 0.500 0.500 0.500
Au: 0.000 0.500 0.500
Au: 0.500 0.000 0.000
O: 0.229 0.727 0.476
O: 0.262 0.276 0.532
O: 0.273 0.771 0.024
O: 0.276 0.262 0.032
O: 0.724 0.738 0.968
O: 0.727 0.229 0.976
O: 0.738 0.724 0.468
O: 0.771 0.273 0.524

Calculated values
E_form (uncorrected) = -1.380 eV/atom
V = 10.3 Å³ per atom
crystal system = monoclinic
magnetic moment = 1.9 μB/cell